<1>
This record from the Alexandria database describes a relaxed As3HOs crystal. The functional is GGA-PBE.

Cell lengths 4.142, 4.142, 4.142 Å; angles 90.00, 90.00, 90.00 degrees
Positions (direct):
As: 0.000 0.000 0.500
As: 0.000 0.500 0.000
As: 0.500 0.000 0.000
H: 0.000 0.000 0.000
Os: 0.500 0.500 0.500

Properties
spin magnetization = 0.00 μB/f.u.
crystal system = cubic


<2>
This record from the Alexandria database describes a relaxed As3HOs crystal. The functional is GGA-PBE.

Cell lengths 4.805, 4.805, 4.805 Å; angles 90.00, 90.00, 90.00 degrees
Positions (direct):
As: 0.000 0.000 0.500
As: 0.000 0.500 0.000
As: 0.500 0.000 0.000
H: 0.500 0.500 0.500
Os: 0.000 0.000 0.000

Properties
spin magnetization = 0.00 μB/f.u.
crystal system = cubic


Most stable structure, least stable structure: <1>, <2>.


<1>
This record from the Alexandria database describes a relaxed AsHOs3 crystal. The functional is GGA-PBE.

Cell lengths 4.540, 4.540, 4.540 Å; angles 90.00, 90.00, 90.00 degrees
Positions (direct):
As: 0.000 0.000 0.000
H: 0.500 0.500 0.500
Os: 0.000 0.000 0.500
Os: 0.000 0.500 0.000
Os: 0.500 0.000 0.000

Properties
spin magnetization = 2.21 μB/f.u.
crystal system = cubic


<2>
This record from the Alexandria database describes a relaxed AsHOs3 crystal. The functional is GGA-PBE.

Cell lengths 3.948, 3.948, 3.948 Å; angles 90.00, 90.00, 90.00 degrees
Positions (direct):
As: 0.000 0.000 0.000
H: 0.500 0.500 0.500
Os: 0.000 0.500 0.500
Os: 0.500 0.000 0.500
Os: 0.500 0.500 0.000

Properties
spin magnetization = 0.87 μB/f.u.
crystal system = cubic


Most stable structure, least stable structure: <2>, <1>.


<1>
This record from the Alexandria database describes a relaxed AsHOsSe2 crystal. The functional is GGA-PBE.

Cell lengths 4.639, 4.639, 3.397 Å; angles 90.00, 90.00, 90.00 degrees
Positions (direct):
As: 0.000 0.000 0.000
H: 0.000 0.000 0.500
Os: 0.500 0.500 0.000
Se: 0.000 0.500 0.500
Se: 0.500 0.000 0.500

Properties
spin magnetization = 0.00 μB/f.u.
crystal system = tetragonal


<2>
This record from the Alexandria database describes a relaxed AsHOsSe2 crystal. The functional is GGA-PBE.

Cell lengths 5.007, 5.007, 4.727 Å; angles 90.00, 90.00, 90.00 degrees
Positions (direct):
As: 0.000 0.000 0.000
H: 0.500 0.500 0.000
Os: 0.000 0.000 0.500
Se: 0.000 0.500 0.500
Se: 0.500 0.000 0.500

Properties
spin magnetization = 0.21 μB/f.u.
crystal system = tetragonal


Most stable structure, least stable structure: <1>, <2>.


<1>
This record from the Alexandria database describes a relaxed As2HOsSe crystal. The functional is GGA-PBE.

Cell lengths 3.921, 3.921, 4.740 Å; angles 90.00, 90.00, 90.00 degrees
Positions (direct):
As: 0.000 0.500 0.000
As: 0.500 0.000 0.000
H: 0.000 0.000 0.000
Os: 0.500 0.500 0.500
Se: 0.000 0.000 0.500

Properties
spin magnetization = 0.00 μB/f.u.
crystal system = tetragonal


<2>
This record from the Alexandria database describes a relaxed As2HOsSe crystal. The functional is GGA-PBE.

Cell lengths 4.711, 4.711, 5.300 Å; angles 90.00, 90.00, 90.00 degrees
Positions (direct):
As: 0.000 0.500 0.000
As: 0.500 0.000 0.000
H: 0.000 0.000 0.500
Os: 0.500 0.500 0.000
Se: 0.500 0.500 0.500

Properties
spin magnetization = 0.10 μB/f.u.
crystal system = tetragonal


Most stable structure, least stable structure: <1>, <2>.